Computed, not measured: a relaxed structure of NpW4O12 at the PBE+U level of DFT.

Cell lengths 6.7600, 6.7600, 6.7600 Å; angles 108.11, 108.11, 112.23 degrees
Closest atoms and distances in Å follow each position.
Fractional coordinates of all 17 atoms:
Np1 0.0000 0.0000 0.0000  8 O 2.35
W1 0.0000 0.0000 0.5000  6 O 1.94-2.04
W2 0.0000 0.5000 0.0000  6 O 1.94-2.04
W3 0.5000 0.0000 0.0000  6 O 1.94-2.04
W4 0.5000 0.5000 0.5000  6 O 1.94-2.04
O1 0.0437 0.8091 0.2346  2 W 2.04
O2 0.1909 0.4255 0.2346  2 W 2.04
O3 0.1909 0.9563 0.7654  2 W 2.04
O4 0.2924 0.2924 0.5848  2 W 1.94
O5 0.2924 0.7076 0.0000  2 W 1.94
O6 0.4255 0.1909 0.2346  2 W 2.04
O7 0.5745 0.8091 0.7654  2 W 2.04
O8 0.7076 0.2924 0.0000  2 W 1.94
O9 0.7076 0.7076 0.4152  2 W 1.94
O10 0.8091 0.0437 0.2346  2 W 2.04
O11 0.8091 0.5745 0.7654  2 W 2.04
O12 0.9563 0.1909 0.7654  2 W 2.04

Volume   13.96 Å³ per atom
DFT total energy   -137.47 eV for the cell shown
Symmetry   I4/mmm